Model i:
Material: La4ErCd
Method: DFT, PBE
State: optimized geometry

```
data_La4ErCd
_space_group_name_H-M_alt 'P 1'
_space_group_IT_number 1
_cell_length_a 6.2686
_cell_length_b 9.0081
_cell_length_c 9.9068
_cell_angle_alpha 104.17
_cell_angle_beta 90.85
_cell_angle_gamma 131.54
loop_
_space_group_symop_operation_xyz
'x,y,z'
loop_
_atom_site_label
_atom_site_fract_x
_atom_site_fract_y
_atom_site_fract_z
La1 0.2285 0.9534 0.4005
La2 0.8825 0.7882 0.0548
La3 0.3280 0.5529 0.5995
La4 0.3277 0.7334 0.9452
La5 0.7715 0.0466 0.5995
La6 0.6720 0.4471 0.4005
La7 0.1175 0.2118 0.9452
La8 0.6723 0.2666 0.0548
Er1 0.3841 0.6341 0.2683
Er2 0.6159 0.3659 0.7317
Cd1 0.8905 0.1405 0.2810
Cd2 0.1095 0.8595 0.7190
```

Calculated values
Space group: C2/c



Model ii:
Material: La4ErCd
Method: DFT, PBE
State: optimized geometry

```
data_La4ErCd
_space_group_name_H-M_alt 'P 1'
_space_group_IT_number 1
_cell_length_a 3.7530
_cell_length_b 3.7530
_cell_length_c 14.3315
_cell_angle_alpha 90.00
_cell_angle_beta 90.00
_cell_angle_gamma 90.00
loop_
_space_group_symop_operation_xyz
'x,y,z'
loop_
_atom_site_label
_atom_site_fract_x
_atom_site_fract_y
_atom_site_fract_z
La1 0.5000 0.5000 0.8285
La2 0.5000 0.5000 0.1715
La3 0.0000 0.0000 0.6496
La4 0.0000 0.0000 0.3504
Er1 0.0000 0.0000 0.0000
Cd1 0.5000 0.5000 0.5000
```

Calculated values
Space group: P4/mmm



Top of the stability list: model ii, leading by 0.083 eV/atom.



Model i:
Material: LaPmErCd
Method: DFT, PBE
State: optimized geometry

```
data_LaPmErCd
_space_group_name_H-M_alt 'P 1'
_space_group_IT_number 1
_cell_length_a 3.6890
_cell_length_b 3.6890
_cell_length_c 9.0621
_cell_angle_alpha 90.00
_cell_angle_beta 90.00
_cell_angle_gamma 90.00
loop_
_space_group_symop_operation_xyz
'x,y,z'
loop_
_atom_site_label
_atom_site_fract_x
_atom_site_fract_y
_atom_site_fract_z
La1 0.0000 0.0000 0.0786
Pm1 0.5000 0.5000 0.7906
Er1 0.5000 0.5000 0.3551
Cd1 0.0000 0.0000 0.5604
```

Calculated values
Space group: P4mm



Model ii:
Material: LaPmErCd
Method: DFT, PBE
State: optimized geometry

```
data_LaPmErCd
_space_group_name_H-M_alt 'P 1'
_space_group_IT_number 1
_cell_length_a 5.5791
_cell_length_b 5.5791
_cell_length_c 5.5791
_cell_angle_alpha 60.00
_cell_angle_beta 60.00
_cell_angle_gamma 60.00
loop_
_space_group_symop_operation_xyz
'x,y,z'
loop_
_atom_site_label
_atom_site_fract_x
_atom_site_fract_y
_atom_site_fract_z
Cd1 0.7500 0.7500 0.7500
Pm1 0.0000 0.0000 0.0000
La1 0.5000 0.5000 0.5000
Er1 0.2500 0.2500 0.2500
```

Calculated values
Space group: F-43m



Top of the stability list: model i, leading by 0.085 eV/atom.